(1)
DFT (GGA-PBE) results for LiPr2Cu12Ni3 after structural relaxation.

```
LiPr2Cu12Ni3
1.0
4.0015 2.3102 5.7205
-4.0015 2.3102 5.7205
0.0000 -4.6205 5.7205
Li Pr Cu Ni
1 2 12 3
Cartesian
0.0000 0.0000 0.0000 Li
0.0000 0.0000 6.7536 Pr
0.0000 0.0000 10.4077 Pr
-1.3871 -0.8008 4.0210 Cu
0.0000 -2.3958 5.2169 Cu
-2.0748 1.1979 5.2169 Cu
1.3870 -0.8008 4.0210 Cu
0.0000 1.6016 4.0210 Cu
-2.0748 -1.1979 11.9445 Cu
2.0748 1.1979 5.2169 Cu
0.0000 -1.6016 13.1403 Cu
-1.3871 0.8008 13.1403 Cu
2.0748 -1.1979 11.9445 Cu
0.0000 2.3958 11.9445 Cu
1.3870 0.8008 13.1403 Cu
-4.0015 0.0000 8.5807 Ni
-2.0007 1.1551 2.8602 Ni
2.0007 1.1551 2.8602 Ni
```

Values from the calculation:
The formation energy comes out at 710 kJ/mol of formula units. The size of the total moment comes out at 0.00 μB per formula unit. The calculation puts the density of states at the Fermi level at 9.7 states/eV/cell. The space-group type is R-3m (166). As for the total DFT energy (no corrections): -3.92 eV/atom.

=====

(2)
DFT (GGA-PBE) results for Zn2RePt after structural relaxation.

```
Zn2RePt
1.0
2.8180 -3.9308 0.0000
2.8180 3.9308 0.0000
0.0000 0.0000 2.6595
Zn Re Pt
2 1 1
Cartesian
1.4090 1.9654 0.0000 Zn
1.4090 -1.9654 0.0000 Zn
0.0000 0.0000 1.3297 Re
2.8180 0.0000 1.3297 Pt
```

Values from the calculation:
The formation energy comes out at 15 kJ/mol of formula units. The size of the total moment comes out at 0.00 μB per formula unit. The calculation puts the density of states at the Fermi level at 3.8 states/eV/cell. For the energy above the lowest structure with this stoichiometry, the calculation gives 112 meV per atom. The space-group type is Cmmm (65). As for the total DFT energy (no corrections): -5.22 eV/atom.

=====

(3)
DFT (GGA-PBE) results for NaErGaHg after structural relaxation.

```
NaErGaHg
1.0
0.0000 3.5849 3.5849
3.5849 0.0000 3.5849
3.5849 3.5849 0.0000
Na Er Ga Hg
1 1 1 1
Cartesian
0.0000 0.0000 0.0000 Na
3.5849 3.5849 3.5849 Er
5.3774 5.3774 5.3774 Ga
1.7925 1.7925 1.7925 Hg
```

Values from the calculation:
The formation energy comes out at -114 kJ/mol of formula units. The size of the total moment comes out at 0.00 μB per formula unit. The calculation puts the density of states at the Fermi level at 2.5 states/eV/cell. The space-group type is F-43m (216). As for the total DFT energy (no corrections): -2.60 eV/atom.

=====

What did the second record say?
DFT (GGA-PBE) results for Zn2RePt after structural relaxation.

```
Zn2RePt
1.0
2.8180 -3.9308 0.0000
2.8180 3.9308 0.0000
0.0000 0.0000 2.6595
Zn Re Pt
2 1 1
Cartesian
1.4090 1.9654 0.0000 Zn
1.4090 -1.9654 0.0000 Zn
0.0000 0.0000 1.3297 Re
2.8180 0.0000 1.3297 Pt
```

Values from the calculation:
The formation energy comes out at 15 kJ/mol of formula units. The size of the total moment comes out at 0.00 μB per formula unit. The calculation puts the density of states at the Fermi level at 3.8 states/eV/cell. For the energy above the lowest structure with this stoichiometry, the calculation gives 112 meV per atom. The space-group type is Cmmm (65). As for the total DFT energy (no corrections): -5.22 eV/atom.

=====

> What is the size of the total moment in the first record?

0.00 μB per formula unit